Below is a relaxed CaPuMgO6 crystal, with properties calculated at the PBE level.

## Properties
- VASP energy: -138.90 eV per cell
- Space group: P-31c, No. 163
- Raw formation energy: -2419.1 meV/atom

Cell: 5.401 5.401 9.940 Å, 90.00 90.00 120.00°
Element x y z (fractional)
Ca  0.000  0.000  0.000
Ca  0.000  0.000  0.500
Pu  0.667  0.333  0.250
Pu  0.333  0.667  0.750
Mg  0.333  0.667  0.250
Mg  0.667  0.333  0.750
O  0.647  0.630  0.142
O  0.983  0.353  0.142
O  0.353  0.983  0.642
O  0.017  0.647  0.858
O  0.370  0.353  0.358
O  0.983  0.630  0.358
O  0.630  0.983  0.858
O  0.647  0.017  0.358
O  0.017  0.370  0.642
O  0.370  0.017  0.142
O  0.630  0.647  0.642
O  0.353  0.370  0.858